Entry 1:
Pa2CoGeC | GGA-PBE | optimized geometry

Values from the calculation:
* DFT formation energy: -0.50 eV/atom

abc: 3.9563 6.2041 7.6377
angles: 108.04 90.00 90.00
Last column: nearest neighbours and their distance in Å.
Fractional positions:
C: 0.2500 0.8477 0.8348  1 Co 1.92
C: 0.7500 0.1523 0.1652  1 Co 1.92
Pa: 0.7500 0.7679 0.6174  2 C 2.53, 1 Co 2.81
Pa: 0.2500 0.2338 0.9745  1 C 2.30
Pa: 0.2500 0.2321 0.3826  2 C 2.53, 1 Co 2.81
Pa: 0.7500 0.7662 0.0255  1 C 2.30
Ge: 0.7500 0.2832 0.6895  2 Co 2.43
Ge: 0.2500 0.7168 0.3105  2 Co 2.43
Co: 0.2500 0.5221 0.7479  1 C 1.92
Co: 0.7500 0.4779 0.2521  1 C 1.92



Entry 2:
KV4S8 | GGA-PBE | optimized geometry

Values from the calculation:
* polymorph energy (0 for the lowest one): 0.0000 eV per atom
* E_form (uncorrected): -899 meV/atom

abc: 3.2720 8.4340 8.8635
angles: 84.24 79.36 78.82
Last column: nearest neighbours and their distance in Å.
Fractional positions:
S: 0.1561 0.3248 0.3630  3 V 2.31-2.49
S: 0.1696 0.0206 0.6402  3 V 2.33-2.39
S: 0.2117 0.6776 0.8990  3 V 2.33-2.37
S: 0.8618 0.9829 0.2935  3 V 2.33-2.39
S: 0.8198 0.3257 0.0348  3 V 2.33-2.37
S: 0.8754 0.6786 0.5707  3 V 2.31-2.49
S: 0.5537 0.6512 0.2413  3 V 2.31-2.45
S: 0.4777 0.3522 0.6924  3 V 2.31-2.45
V: 0.3568 0.8377 0.4487  6 S 2.31-2.45
V: 0.1858 0.5060 0.1225  6 S 2.31-2.49
V: 0.6746 0.1658 0.4851  6 S 2.31-2.45
V: 0.8457 0.4974 0.8113  6 S 2.31-2.49
K: 0.5158 0.0017 0.9668  8 S 3.23-3.28, 2 K 3.27



Entry 3:
Pm3SmTe4 | GGA-PBE | optimized geometry

Values from the calculation:
* polymorph energy (0 for the lowest one): 0.0117 eV per atom
* E_form (uncorrected): -1389 meV/atom

abc: 4.3765 4.3765 30.2997
angles: 90.00 90.00 120.00
Last column: nearest neighbours and their distance in Å.
Fractional positions:
Pm: 0.6667 0.3333 0.3759  6 Te 3.14-3.16
Pm: 0.3333 0.6667 0.6241  6 Te 3.14-3.16
Pm: 0.6667 0.3333 0.1241  6 Te 3.14-3.16
Pm: 0.0000 0.0000 0.5000  6 Te 3.16
Pm: 0.0000 0.0000 0.0000  6 Te 3.16
Pm: 0.3333 0.6667 0.8759  6 Te 3.14-3.16
Sm: 0.3333 0.6667 0.2500  6 Te 3.17
Sm: 0.6667 0.3333 0.7500  6 Te 3.17
Te: 0.3333 0.6667 0.4376  6 Pm 3.14-3.16
Te: 0.6667 0.3333 0.5624  6 Pm 3.14-3.16
Te: 0.0000 0.0000 0.6868  3 Pm 3.16, 3 Sm 3.17
Te: 0.0000 0.0000 0.8132  3 Pm 3.16, 3 Sm 3.17
Te: 0.0000 0.0000 0.3132  3 Pm 3.16, 3 Sm 3.17
Te: 0.3333 0.6667 0.0624  6 Pm 3.14-3.16
Te: 0.0000 0.0000 0.1868  3 Pm 3.16, 3 Sm 3.17
Te: 0.6667 0.3333 0.9376  6 Pm 3.14-3.16



Entry 4:
NaMn3Sb | GGA-PBE | optimized geometry

Values from the calculation:
* polymorph energy (0 for the lowest one): 0.5326 eV per atom
* E_form (uncorrected): 1409 meV/atom

abc: 4.7290 4.7290 4.7290
angles: 90.00 90.00 90.00
Last column: nearest neighbours and their distance in Å.
Fractional positions:
Na: 0.0000 0.0000 0.0000  6 Mn 2.36
Mn: 0.0000 0.5000 0.0000  2 Na 2.36
Mn: 0.5000 0.0000 0.0000  2 Na 2.36
Mn: 0.0000 0.0000 0.5000  2 Na 2.36
Sb: 0.5000 0.5000 0.5000  12 Mn 3.34



Entry 5:
BeTlRu2I | GGA-PBE | optimized geometry

Values from the calculation:
* E_form (uncorrected): 1096 meV/atom

abc: 4.5042 4.8404 4.5042
angles: 90.00 90.00 90.00
Last column: nearest neighbours and their distance in Å.
Fractional positions:
Tl: 0.5000 0.5000 0.5000  4 I 3.18, 8 Ru 3.31
Be: 0.0000 0.0000 0.0000  4 Ru 2.25, 2 I 2.42
I: 0.0000 0.5000 0.0000  2 Be 2.42
Ru: 0.5000 0.0000 0.0000  2 Be 2.25
Ru: 0.0000 0.0000 0.5000  2 Be 2.25



Entry 6:
LiCeHoSe3 | GGA-PBE | optimized geometry

Values from the calculation:
* E_form (uncorrected): -1649 meV/atom

abc: 4.0269 8.4314 8.8809
angles: 103.58 90.00 90.00
Last column: nearest neighbours and their distance in Å.
Fractional positions:
Ho: 0.7500 0.3322 0.8401  6 Se 2.84-2.92
Ho: 0.2500 0.6678 0.1599  6 Se 2.84-2.92
Li: 0.7500 0.9127 0.4156  4 Se 2.49-2.55, 2 Li 2.73
Li: 0.2500 0.0873 0.5844  4 Se 2.49-2.55, 2 Li 2.73
Se: 0.7500 0.4338 0.1731  3 Ho 2.84-2.88, 2 Ce 3.01
Se: 0.2500 0.7770 0.4975  3 Li 2.51-2.55
Se: 0.7500 0.9031 0.1327  1 Li 2.49
Se: 0.2500 0.0969 0.8673  1 Li 2.49
Se: 0.2500 0.5662 0.8269  3 Ho 2.84-2.88, 2 Ce 3.01
Se: 0.7500 0.2230 0.5025  3 Li 2.51-2.55
Ce: 0.7500 0.8129 0.7744  7 Se 3.01-3.14
Ce: 0.2500 0.1871 0.2256  7 Se 3.01-3.14



Entry 7:
AcSbH6Ir2 | GGA-PBE | optimized geometry

Values from the calculation:
* total DFT energy (no corrections): -4.909 eV per atom

abc: 7.3714 7.3714 4.7089
angles: 85.94 85.94 110.53
Last column: nearest neighbours and their distance in Å.
Fractional positions:
H: 0.8634 0.5242 0.5190  1 Ir 1.63
H: 0.4758 0.1366 0.9810  1 Ir 1.63
H: 0.8458 0.8436 0.4863  2 Ir 1.76-1.83
H: 0.6538 0.0169 0.3328  1 Ir 1.65
H: 0.1366 0.4758 0.4810  1 Ir 1.63
H: 0.1542 0.1564 0.5137  2 Ir 1.76-1.83
H: 0.3462 0.9831 0.6672  1 Ir 1.65
H: 0.5242 0.8634 0.0190  1 Ir 1.63
H: 0.8436 0.8458 0.9863  2 Ir 1.76-1.83
H: 0.0169 0.6538 0.8328  1 Ir 1.65
H: 0.1564 0.1542 0.0137  2 Ir 1.76-1.83
H: 0.9831 0.3462 0.1672  1 Ir 1.65
Sb: 0.6005 0.3995 0.2500  2 H 2.34
Sb: 0.3995 0.6005 0.7500  2 H 2.34
Ac: 0.1734 0.8266 0.2500  8 H 2.54-2.72
Ac: 0.8266 0.1734 0.7500  8 H 2.54-2.72
Ir: 0.8014 0.6499 0.7541  4 H 1.63-1.83
Ir: 0.3501 0.1986 0.7459  4 H 1.63-1.83
Ir: 0.6499 0.8014 0.2541  4 H 1.63-1.83
Ir: 0.1986 0.3501 0.2459  4 H 1.63-1.83



Entry 8:
Sm4HgRh | GGA-PBE | optimized geometry

Values from the calculation:
* polymorph energy (0 for the lowest one): 0.0000 eV per atom
* DFT formation energy: -0.50 eV/atom

abc: 9.7834 9.7834 9.7834
angles: 60.00 60.00 60.00
Last column: nearest neighbours and their distance in Å.
Fractional positions:
Hg: 0.1658 0.1658 0.5027  9 Sm 3.26-3.53, 3 Hg 3.30
Hg: 0.1658 0.5027 0.1658  9 Sm 3.26-3.53, 3 Hg 3.30
Hg: 0.5027 0.1658 0.1658  9 Sm 3.26-3.53, 3 Hg 3.30
Hg: 0.1658 0.1658 0.1658  9 Sm 3.26-3.53, 3 Hg 3.30
Sm: 0.5598 0.5598 0.9402  2 Rh 2.86
Sm: 0.1873 0.8127 0.8127  2 Hg 3.26, 2 Rh 3.53, 2 Sm 3.53
Sm: 0.8127 0.1873 0.1873  2 Hg 3.26, 2 Rh 3.53, 2 Sm 3.53
Sm: 0.9402 0.5598 0.5598  2 Rh 2.86
Sm: 0.8127 0.1873 0.8127  2 Hg 3.26, 2 Rh 3.53, 2 Sm 3.53
Sm: 0.8027 0.3991 0.3991  3 Rh 2.89
Sm: 0.9402 0.5598 0.9402  2 Rh 2.86
Sm: 0.9402 0.9402 0.5598  2 Rh 2.86
Sm: 0.3991 0.8027 0.3991  3 Rh 2.89
Sm: 0.3991 0.3991 0.3991  3 Rh 2.89
Sm: 0.8127 0.8127 0.1873  2 Hg 3.26, 2 Rh 3.53, 2 Sm 3.53
Sm: 0.5598 0.9402 0.9402  2 Rh 2.86
Sm: 0.1873 0.1873 0.8127  2 Hg 3.26, 2 Rh 3.53, 2 Sm 3.53
Sm: 0.5598 0.9402 0.5598  2 Rh 2.86
Sm: 0.3991 0.3991 0.8027  3 Rh 2.89
Sm: 0.1873 0.8127 0.1873  2 Hg 3.26, 2 Rh 3.53, 2 Sm 3.53
Rh: 0.6076 0.6076 0.1773  6 Sm 2.86-2.89
Rh: 0.6076 0.1773 0.6076  6 Sm 2.86-2.89
Rh: 0.6076 0.6076 0.6076  6 Sm 2.86-2.89
Rh: 0.1773 0.6076 0.6076  6 Sm 2.86-2.89



Entry 9:
Sr2GaSn4Au3 | GGA-PBE | optimized geometry

Values from the calculation:
* DFT formation energy: -0.52 eV/atom

abc: 4.7092 4.7092 11.7126
angles: 90.00 90.00 90.00
Last column: nearest neighbours and their distance in Å.
Fractional positions:
Sr: 0.5000 0.0000 0.2565  8 Sn 3.58-3.82, 6 Au 3.60-3.70, 2 Ga 3.70
Sr: 0.0000 0.5000 0.7435  8 Sn 3.58-3.82, 6 Au 3.60-3.70, 2 Ga 3.70
Au: 0.5000 0.0000 0.8610  5 Sn 2.69-2.86
Au: 0.0000 0.5000 0.1390  5 Sn 2.69-2.86
Au: 0.0000 0.0000 0.5000  4 Sn 2.81
Ga: 0.5000 0.5000 0.5000  4 Sn 2.81
Sn: 0.0000 0.5000 0.3688  3 Au 2.69-2.81, 2 Ga 2.81
Sn: 0.0000 0.0000 0.0000  4 Au 2.86
Sn: 0.5000 0.5000 0.0000  4 Au 2.86
Sn: 0.5000 0.0000 0.6312  3 Au 2.69-2.81, 2 Ga 2.81



Entry 10:
CdMo3H | GGA-PBE | optimized geometry

Values from the calculation:
* polymorph energy (0 for the lowest one): 0.0000 eV per atom

abc: 4.0903 4.0903 4.0903
angles: 90.00 90.00 90.00
Last column: nearest neighbours and their distance in Å.
Fractional positions:
Mo: 0.5000 0.0000 0.0000  2 H 2.05
Mo: 0.0000 0.5000 0.0000  2 H 2.05
Mo: 0.0000 0.0000 0.5000  2 H 2.05
Cd: 0.5000 0.5000 0.5000  12 Mo 2.89
H: 0.0000 0.0000 0.0000  6 Mo 2.05



Entry 11:
Tb2Dy3Hg3 | GGA-PBE | optimized geometry

Values from the calculation:
* DFT formation energy: -0.36 eV/atom

abc: 3.7337 5.3031 11.5151
angles: 103.31 99.33 90.00
Last column: nearest neighbours and their distance in Å.
Fractional positions:
Hg: 0.8823 0.8823 0.7645  2 Tb 3.14, 6 Dy 3.20-3.24
Hg: 0.1177 0.1177 0.2355  2 Tb 3.14, 6 Dy 3.20-3.24
Hg: 0.0000 0.5000 0.0000  8 Dy 3.24-3.26
Tb: 0.7320 0.2320 0.4639  2 Hg 3.14, 4 Tb 3.34
Tb: 0.2680 0.7680 0.5361  2 Hg 3.14, 4 Tb 3.34
Dy: 0.3791 0.3791 0.7582  6 Hg 3.24-3.26, 2 Tb 3.61
Dy: 0.6209 0.6209 0.2418  6 Hg 3.24-3.26, 2 Tb 3.61
Dy: 0.5000 0.0000 0.0000  8 Hg 3.20-3.24



Entry 12:
BaGaSb2Pb | GGA-PBE | optimized geometry

Values from the calculation:
* E_form (uncorrected): 60 meV/atom

abc: 5.4174 5.9414 5.4174
angles: 90.00 90.00 90.00
Last column: nearest neighbours and their distance in Å.
Fractional positions:
Sb: 0.5000 0.0000 0.0000  2 Ga 2.71
Sb: 0.0000 0.0000 0.5000  2 Ga 2.71
Ga: 0.0000 0.0000 0.0000  4 Sb 2.71, 2 Ba 2.97
Ba: 0.0000 0.5000 0.0000  2 Ga 2.97
Pb: 0.5000 0.5000 0.5000  4 Ba 3.83, 8 Sb 4.02



Entry 13:
Fe2PbCl | GGA-PBE | optimized geometry

Values from the calculation:
* polymorph energy (0 for the lowest one): 0.5176 eV per atom
* E_form (uncorrected): 582 meV/atom

abc: 6.8517 6.8517 5.8062
angles: 53.84 53.84 90.00
Last column: nearest neighbours and their distance in Å.
Fractional positions:
Fe: 0.3750 0.4346 0.7500  2 Cl 2.30
Fe: 0.8750 0.8154 0.7500  2 Cl 2.30
Fe: 0.1846 0.6250 0.2500  2 Cl 2.30
Fe: 0.5654 0.1250 0.2500  2 Cl 2.30
Cl: 0.5000 0.5000 0.0000  4 Fe 2.30
Cl: 0.2500 0.7500 0.5000  4 Fe 2.30
Pb: 0.7500 0.2500 0.5000  4 Fe 2.84
Pb: 0.0000 0.0000 0.0000  4 Fe 2.84



Entry 14:
KCdPb2 | GGA-PBE | optimized geometry

Values from the calculation:
* DFT formation energy: 0.02 eV/atom

abc: 6.5529 6.7545 3.3891
angles: 77.71 85.51 117.74
Last column: nearest neighbours and their distance in Å.
Fractional positions:
Cd: 0.0000 0.5000 0.5000  2 Cd 3.39, 4 Pb 3.44, 2 K 3.57
Pb: 0.5000 0.0000 0.5000  4 Pb 3.39-3.57, 2 Cd 3.44, 2 K 3.44
Pb: 0.0000 0.0000 0.0000  4 Pb 3.39-3.57, 2 K 3.44, 2 Cd 3.44
K: 0.5000 0.5000 0.0000  2 K 3.39, 4 Pb 3.44, 2 Cd 3.57